1.
5
Lattice="4.6980 0.0000 0.0000 0.0000 3.5909 0.0000 0.0000 0.0000 4.6980" Properties=species:S:1:pos:R:3 comment="Na2AgHRh, relaxed, DFT PBE" total_energy_ev_per_atom=-3.17 space_group="P4/mmm (123)" dos_ef_per_ev_cell=1.62 m_tot_mub_per_fu=0.0 pbc="T T T"
H 0.0000 0.0000 0.0000
Na 0.0000 0.0000 2.3490
Ag 2.3490 1.7955 2.3490
Na 2.3490 0.0000 0.0000
Rh 0.0000 1.7955 0.0000



2.
10
Lattice="-0.3634 -8.5333 3.6757 7.3984 -2.4910 -5.0515 1.9062 0.9249 2.3357" Properties=species:S:1:pos:R:3 comment="Na2Nb2H, relaxed, DFT PBE" e_above_lowest_polymorph_mev_per_atom=725.0 space_group="P4/mbm (127)" dos_ef_per_ev_cell=10.07 m_tot_mub_per_fu=0.1 pbc="T T T"
Nb 7.5188 -6.8020 -1.3139
Na 5.7727 -4.4949 -2.9313
H 0.0000 0.0000 0.0000
Na 2.1061 -2.4857 -0.7345
Nb 1.4224 -3.2974 2.2737
Nb 5.2423 -1.7077 -1.4733
Na 1.2622 -6.5294 1.5554
Nb 3.6988 -8.3917 2.4332
H 3.5175 -5.5121 -0.6879
Na 4.9289 -8.5386 -0.6414



3.
4
Lattice="5.3321 -0.1303 -0.0150 4.4533 2.9353 -0.0150 1.8942 0.5430 4.0052" Properties=species:S:1:pos:R:3 comment="MgTa2Co, relaxed, DFT PBE" delta_e_f_ev_per_atom=0.122 space_group="Immm (71)" dos_ef_per_ev_cell=3.62 m_tot_mub_per_fu=0.1 pbc="T T T"
Co 8.7597 2.5110 2.9815
Ta 2.0735 0.5944 3.9134
Ta 5.6606 1.6226 2.0795
Mg 2.9199 0.8370 0.9938